# 1
# BeZnNi2, optimized geometry, DFT PBE
# - space-group type = P4/mmm
# - total moment (μB/atom) = 0.00
data_BeZnNi2
_chemical_formula_sum 'Be1 Zn1 Ni2'
_space_group_name_H-M_alt 'P 1'
_space_group_IT_number 1
_cell_length_a 3.079
_cell_length_b 3.727
_cell_length_c 3.727
_cell_angle_alpha 90.00
_cell_angle_beta 90.00
_cell_angle_gamma 90.00
loop_
_space_group_symop_operation_xyz
'x,y,z'
loop_
_atom_site_label
_atom_site_fract_x
_atom_site_fract_y
_atom_site_fract_z
Ni1 0.000 0.500 0.500
Ni2 0.000 0.000 0.000
Zn1 0.500 0.500 0.000
Be1 0.500 0.000 0.500

# 2
# Be2ZnNi, optimized geometry, DFT PBE
# - space-group type = R-3m
# - total moment (μB/atom) = 0.00
data_Be2ZnNi
_chemical_formula_sum 'Be2 Zn1 Ni1'
_space_group_name_H-M_alt 'P 1'
_space_group_IT_number 1
_cell_length_a 7.989
_cell_length_b 7.989
_cell_length_c 7.989
_cell_angle_alpha 17.99
_cell_angle_beta 17.99
_cell_angle_gamma 17.99
loop_
_space_group_symop_operation_xyz
'x,y,z'
loop_
_atom_site_label
_atom_site_fract_x
_atom_site_fract_y
_atom_site_fract_z
Be1 0.990 0.990 0.990
Be2 0.510 0.510 0.510
Ni1 0.250 0.250 0.250
Zn1 0.750 0.750 0.750

# 3
# BeZnNi2, optimized geometry, DFT PBE
# - space-group type = R3m
# - total moment (μB/atom) = 0.00
data_BeZnNi2
_chemical_formula_sum 'Be1 Zn1 Ni2'
_space_group_name_H-M_alt 'P 1'
_space_group_IT_number 1
_cell_length_a 2.553
_cell_length_b 2.553
_cell_length_c 7.803
_cell_angle_alpha 80.59
_cell_angle_beta 80.59
_cell_angle_gamma 60.00
loop_
_space_group_symop_operation_xyz
'x,y,z'
loop_
_atom_site_label
_atom_site_fract_x
_atom_site_fract_y
_atom_site_fract_z
Zn1 0.500 0.500 0.500
Ni1 0.074 0.074 0.777
Ni2 0.259 0.259 0.223
Be1 0.667 0.667 0.000

# 4
# BeZnNi2, optimized geometry, DFT PBE
# - space-group type = P4mm
# - total moment (μB/atom) = 0.00
data_BeZnNi2
_chemical_formula_sum 'Be1 Zn1 Ni2'
_space_group_name_H-M_alt 'P 1'
_space_group_IT_number 1
_cell_length_a 2.711
_cell_length_b 2.711
_cell_length_c 5.860
_cell_angle_alpha 90.00
_cell_angle_beta 90.00
_cell_angle_gamma 90.00
loop_
_space_group_symop_operation_xyz
'x,y,z'
loop_
_atom_site_label
_atom_site_fract_x
_atom_site_fract_y
_atom_site_fract_z
Ni1 0.000 0.000 0.966
Ni2 0.500 0.500 0.237
Be1 0.500 0.500 0.785
Zn1 0.000 0.000 0.511

# 5
# BeZnNi, optimized geometry, DFT PBE
# - space-group type = F-43m
# - total moment (μB/atom) = 0.00
data_BeZnNi
_chemical_formula_sum 'Be1 Zn1 Ni1'
_space_group_name_H-M_alt 'P 1'
_space_group_IT_number 1
_cell_length_a 3.710
_cell_length_b 3.710
_cell_length_c 3.710
_cell_angle_alpha 60.00
_cell_angle_beta 60.00
_cell_angle_gamma 60.00
loop_
_space_group_symop_operation_xyz
'x,y,z'
loop_
_atom_site_label
_atom_site_fract_x
_atom_site_fract_y
_atom_site_fract_z
Be1 0.750 0.750 0.750
Ni1 0.000 0.000 0.000
Zn1 0.500 0.500 0.500

# 6
# BeZn4Ni, optimized geometry, DFT PBE
# - space-group type = F-43m
# - total moment (μB/atom) = 0.00
data_BeZn4Ni
_chemical_formula_sum 'Be1 Zn4 Ni1'
_space_group_name_H-M_alt 'P 1'
_space_group_IT_number 1
_cell_length_a 4.850
_cell_length_b 4.850
_cell_length_c 4.850
_cell_angle_alpha 60.00
_cell_angle_beta 60.00
_cell_angle_gamma 60.00
loop_
_space_group_symop_operation_xyz
'x,y,z'
loop_
_atom_site_label
_atom_site_fract_x
_atom_site_fract_y
_atom_site_fract_z
Zn1 0.875 0.375 0.375
Zn2 0.375 0.375 0.875
Zn3 0.375 0.875 0.375
Zn4 0.375 0.375 0.375
Ni1 0.000 0.000 0.000
Be1 0.750 0.750 0.750

# 7
# Be2ZnNi, optimized geometry, DFT PBE
# - space-group type = P4mm
# - total moment (μB/atom) = 0.00
data_Be2ZnNi
_chemical_formula_sum 'Be2 Zn1 Ni1'
_space_group_name_H-M_alt 'P 1'
_space_group_IT_number 1
_cell_length_a 2.693
_cell_length_b 2.693
_cell_length_c 5.575
_cell_angle_alpha 90.00
_cell_angle_beta 90.00
_cell_angle_gamma 90.00
loop_
_space_group_symop_operation_xyz
'x,y,z'
loop_
_atom_site_label
_atom_site_fract_x
_atom_site_fract_y
_atom_site_fract_z
Ni1 0.000 0.000 0.453
Zn1 0.500 0.500 0.760
Be1 0.000 0.000 0.039
Be2 0.500 0.500 0.248

# 8
# Be6ZnNi5, optimized geometry, DFT PBE
# - space-group type = Immm
# - total moment (μB/atom) = 0.00
data_Be6ZnNi5
_chemical_formula_sum 'Be6 Zn1 Ni5'
_space_group_name_H-M_alt 'P 1'
_space_group_IT_number 1
_cell_length_a 3.766
_cell_length_b 5.221
_cell_length_c 6.503
_cell_angle_alpha 113.67
_cell_angle_beta 106.83
_cell_angle_gamma 90.00
loop_
_space_group_symop_operation_xyz
'x,y,z'
loop_
_atom_site_label
_atom_site_fract_x
_atom_site_fract_y
_atom_site_fract_z
Ni1 0.334 0.334 0.667
Ni2 0.661 0.161 0.322
Ni3 0.000 0.500 0.000
Ni4 0.666 0.666 0.333
Ni5 0.339 0.839 0.678
Be1 0.825 0.087 0.651
Be2 0.500 0.728 0.000
Be3 0.175 0.436 0.349
Be4 0.500 0.272 0.000
Be5 0.175 0.913 0.349
Be6 0.825 0.564 0.651
Zn1 0.000 0.000 0.000

| no. | calculated formation energy (kJ/mol of atoms) | energy (eV per atom) |
| --- | --- | --- |
| 1 | -24.96 | -4.3994 |
| 2 | 1.41 | -3.6123 |
| 3 | -16.76 | -4.3144 |
| 4 | -14.52 | -4.2912 |
| 5 | 6.94 | -3.5219 |
| 6 | 19.40 | -2.2328 |
| 7 | -13.09 | -3.7626 |
| 8 | -35.98 | -4.7511 |